Entry 1:
# PBE NaSiB, optimized geometry
data_NaSiB
_chemical_formula_sum 'Na8 Si8 B8'
_space_group_name_H-M_alt 'I 4/m m m'
_space_group_IT_number 139
_space_group_name_Hall '-I 4 2'
_cell_length_a 9.934
_cell_length_b 9.934
_cell_length_c 5.859
_cell_angle_alpha 90.00
_cell_angle_beta 90.00
_cell_angle_gamma 90.00
loop_
_atom_site_label
_atom_site_fract_x
_atom_site_fract_y
_atom_site_fract_z
Na1 0.000 0.301 0.000
Si1 0.000 0.264 0.500
B1 0.087 0.087 0.500
# E_tot (eV per atom): -4.07
# Formation energy (no corrections) (eV per atom): 0.406

***

Entry 2:
# PBE DyHf2Al, optimized geometry
data_DyHf2Al
_chemical_formula_sum 'Dy1 Hf2 Al1'
_space_group_name_H-M_alt 'P 4/m m m'
_space_group_IT_number 123
_space_group_name_Hall '-P 4 2'
_cell_length_a 4.457
_cell_length_b 4.457
_cell_length_c 4.445
_cell_angle_alpha 90.00
_cell_angle_beta 90.00
_cell_angle_gamma 90.00
loop_
_atom_site_label
_atom_site_fract_x
_atom_site_fract_y
_atom_site_fract_z
Dy1 0.000 0.000 0.000
Hf1 0.000 0.500 0.500
Al1 0.500 0.500 0.000
# Relative energy among the computed polymorphs (meV/atom): 0
# E_tot (eV per atom): -7.18
# Formation enthalpy at 0 K (meV per atom): -119.5

***

Entry 3:
# PBE Lu2NbSe, optimized geometry
data_Lu2NbSe
_chemical_formula_sum 'Lu6 Nb3 Se3'
_space_group_name_H-M_alt 'R -3 m'
_space_group_IT_number 166
_space_group_name_Hall '-R 3 2"'
_cell_length_a 3.4571
_cell_length_b 3.4571
_cell_length_c 28.5317
_cell_angle_alpha 90.00
_cell_angle_beta 90.00
_cell_angle_gamma 120.00
loop_
_atom_site_label
_atom_site_fract_x
_atom_site_fract_y
_atom_site_fract_z
Lu1 0.0000 0.0000 0.0998
Nb1 0.0000 0.0000 0.0000
Se1 0.0000 0.0000 0.5000
# E_tot (eV per atom): -5.71
# Formation energy (no corrections) (eV per atom): -0.061

***

Entry 4:
# PBE SrPt2Cl, optimized geometry
data_SrPt2Cl
_chemical_formula_sum 'Sr2 Pt4 Cl2'
_space_group_name_H-M_alt 'I m m 2'
_space_group_IT_number 44
_cell_length_a 4.253
_cell_length_b 5.633
_cell_length_c 7.933
_cell_angle_alpha 90.00
_cell_angle_beta 90.00
_cell_angle_gamma 90.00
loop_
_space_group_symop_operation_xyz
'x,y,z'
'-x,-y,z'
'-x,y,z'
'x,-y,z'
'x+1/2,y+1/2,z+1/2'
'-x+1/2,-y+1/2,z+1/2'
'-x+1/2,y+1/2,z+1/2'
'x+1/2,-y+1/2,z+1/2'
loop_
_atom_site_label
_atom_site_fract_x
_atom_site_fract_y
_atom_site_fract_z
Sr1 0.000 0.000 0.000
Pt1 0.000 0.000 0.481
Pt2 0.000 0.500 0.819
Cl1 0.000 0.500 0.220
# Relative energy among the computed polymorphs (meV/atom): 330
# E_tot (eV per atom): -4.38
# Formation energy (no corrections) (eV per atom): -0.473

***

Entry 5:
# PBE Y3Zn8Ag3, optimized geometry
data_Y3Zn8Ag3
_chemical_formula_sum 'Y6 Zn16 Ag6'
_space_group_name_H-M_alt 'I m m m'
_space_group_IT_number 71
_space_group_name_Hall '-I 2 2'
_cell_length_a 4.396
_cell_length_b 8.991
_cell_length_c 13.299
_cell_angle_alpha 90.00
_cell_angle_beta 90.00
_cell_angle_gamma 90.00
loop_
_atom_site_label
_atom_site_fract_x
_atom_site_fract_y
_atom_site_fract_z
Y1 0.000 0.000 0.000
Y2 0.000 0.000 0.301
Zn1 0.000 0.277 0.138
Zn2 0.000 0.362 0.330
Ag1 0.000 0.209 0.500
Ag2 0.000 0.500 0.000
# E_tot (eV per atom): -3.03
# Formation enthalpy at 0 K (meV per atom): -306.7

***

Entry 6:
# PBE Zr2WAu, optimized geometry
data_Zr2WAu
_chemical_formula_sum 'Zr4 W2 Au2'
_space_group_name_H-M_alt 'C m m m'
_space_group_IT_number 65
_space_group_name_Hall '-C 2 2'
_cell_length_a 3.591
_cell_length_b 4.746
_cell_length_c 9.091
_cell_angle_alpha 90.00
_cell_angle_beta 90.00
_cell_angle_gamma 90.00
loop_
_atom_site_label
_atom_site_fract_x
_atom_site_fract_y
_atom_site_fract_z
Zr1 0.000 0.000 0.242
W1 0.000 0.500 0.000
Au1 0.000 0.500 0.500
# Relative energy among the computed polymorphs (meV/atom): 129
# E_tot (eV per atom): -8.44
# Formation enthalpy at 0 K (meV per atom): -113.1

***

| no. | Fermi-level density of states (states/eV/f.u.) |
| --- | --- |
| 1 | 0.1 |
| 2 | 2.5 |
| 3 | 6.4 |
| 4 | 2.1 |
| 5 | 7.6 |
| 6 | 3.1 |